No. 1
DFT (PBE) results for crystalline Dy2BiP at its relaxed geometry.

```
Dy2BiP
1.0
2.013 1.162 7.635
-2.013 1.162 7.635
0.000 -2.325 7.635
Dy Bi P
2 1 1
direct
0.000 0.000 0.000
0.198 0.198 0.198
0.766 0.766 0.766
0.597 0.597 0.597
```

Its formation energy from the elements is -1.119 eV per atom. As for the space group: R3m (160). As for the size of the total moment: 0.0 μB per formula unit.

=====

No. 2
DFT (PBE) results for crystalline Dy4Bi2P at its relaxed geometry.

```
Dy4Bi2P
1.0
6.780 0.000 0.000
0.000 6.659 0.000
-3.177 0.000 8.912
Dy Bi P
8 4 2
direct
0.003 0.003 0.256
0.003 0.497 0.256
0.403 0.750 0.069
0.427 0.750 0.634
0.573 0.250 0.366
0.597 0.250 0.931
0.997 0.503 0.744
0.997 0.997 0.744
0.201 0.250 0.046
0.204 0.250 0.553
0.796 0.750 0.447
0.799 0.750 0.954
0.334 0.750 0.334
0.666 0.250 0.666
```

Its formation energy from the elements is -0.722 eV per atom. As for the space group: P2_1/m (11). As for the size of the total moment: 0.0 μB per formula unit.

=====

No. 3
DFT (PBE) results for crystalline Dy4BiP2 at its relaxed geometry.

```
Dy4BiP2
1.0
2.063 -6.601 0.000
2.063 6.601 0.000
0.000 0.000 13.572
Dy Bi P
8 2 4
direct
0.000 0.000 0.000
0.000 0.000 0.500
0.263 0.737 0.615
0.263 0.737 0.885
0.433 0.567 0.250
0.567 0.433 0.750
0.737 0.263 0.115
0.737 0.263 0.385
0.109 0.891 0.250
0.891 0.109 0.750
0.366 0.634 0.058
0.366 0.634 0.442
0.634 0.366 0.558
0.634 0.366 0.942
```

Its formation energy from the elements is -1.196 eV per atom. As for the space group: Cmcm (63). As for the size of the total moment: 0.0 μB per formula unit.

=====

No. 4
DFT (PBE) results for crystalline DyBi2P2Pd7 at its relaxed geometry.

```
DyBi2P2Pd7
1.0
2.987 -3.437 0.000
2.987 3.437 0.000
-0.742 0.000 11.428
Dy Bi P Pd
1 2 2 7
direct
0.000 0.000 0.000
0.148 0.148 0.382
0.852 0.852 0.618
0.312 0.312 0.814
0.688 0.688 0.186
0.164 0.573 0.204
0.365 0.365 0.609
0.427 0.836 0.796
0.500 0.500 0.000
0.573 0.164 0.204
0.635 0.635 0.391
0.836 0.427 0.796
```

Its formation energy from the elements is -0.505 eV per atom. As for the space group: C2/m (12). As for the size of the total moment: 0.0 μB per formula unit.

=====

Repeat the first record exactly.
DFT (PBE) results for crystalline Dy2BiP at its relaxed geometry.

```
Dy2BiP
1.0
2.013 1.162 7.635
-2.013 1.162 7.635
0.000 -2.325 7.635
Dy Bi P
2 1 1
direct
0.000 0.000 0.000
0.198 0.198 0.198
0.766 0.766 0.766
0.597 0.597 0.597
```

Its formation energy from the elements is -1.119 eV per atom. As for the space group: R3m (160). As for the size of the total moment: 0.0 μB per formula unit.

=====

- Which of these has the lowest formation energy from the elements?
  Dy4BiP2